ReP2Ir | PBE | optimized geometry

Geometry as extended XYZ:
```
4
Lattice="-3.808 -1.039 -1.620 -1.548 -0.850 -3.884 0.218 -4.786 -0.182" Properties=species:S:1:pos:R:3 pbc="T T T"
P -3.990 -4.325 -4.344
Ir -1.332 -1.569 -1.461
Re -2.411 -3.996 -2.740
P -5.330 -2.012 -5.488
```

Results
Space group = Cm, No. 8
ΔH_f (0 K) = -202 meV/atom
Calculated volume = 59.0 Å³/cell

=====

Re2PIr | PBE | optimized geometry

Geometry as extended XYZ:
```
4
Lattice="-1.444 2.185 4.484 1.444 -2.185 4.484 1.444 2.185 -4.484" Properties=species:S:1:pos:R:3 pbc="T T T"
Ir 1.444 0.000 0.000
P 0.000 2.185 0.000
Re 0.000 0.000 2.584
Re 0.000 0.000 6.383
```

Results
Space group = Immm, No. 71
ΔH_f (0 K) = -46 meV/atom
Calculated volume = 56.6 Å³/cell

=====

Re2PIr | PBE | optimized geometry

Geometry as extended XYZ:
```
4
Lattice="-1.209 2.233 -1.346 -1.726 -1.798 -1.432 -4.547 0.480 4.880" Properties=species:S:1:pos:R:3 pbc="T T T"
Re -1.296 0.137 1.391
P -3.741 0.458 1.051
Ir -1.468 0.218 -1.389
Re -3.251 0.343 3.489
```

Results
Space group = P4/mmm, No. 123
ΔH_f (0 K) = -129 meV/atom
Calculated volume = 55.3 Å³/cell

=====

ReP2Ir | PBE | optimized geometry

Geometry as extended XYZ:
```
4
Lattice="3.109 -2.809 -0.549 -0.857 -3.815 -1.603 1.288 -0.991 -3.901" Properties=species:S:1:pos:R:3 pbc="T T T"
Re 0.000 0.000 0.000
P 2.655 -5.711 -4.539
Ir 1.770 -3.807 -3.026
P 0.885 -1.904 -1.513
```

Results
Space group = Fm-3m, No. 225
ΔH_f (0 K) = 38 meV/atom
Calculated volume = 53.4 Å³/cell

=====

ReP2Ir | PBE | optimized geometry

Geometry as extended XYZ:
```
4
Lattice="7.639 0.027 0.016 7.070 2.891 0.016 7.070 1.403 2.528" Properties=species:S:1:pos:R:3 pbc="T T T"
P 10.940 2.171 1.286
Ir 16.334 3.241 1.920
P 21.729 4.312 2.555
Re 5.445 1.080 0.640
```

Results
Space group = R-3m, No. 166
ΔH_f (0 K) = -70 meV/atom
Calculated volume = 55.0 Å³/cell

=====

Re2PIr | PBE | optimized geometry

Geometry as extended XYZ:
```
4
Lattice="2.557 -4.041 0.000 2.557 4.041 0.000 0.000 0.000 2.798" Properties=species:S:1:pos:R:3 pbc="T T T"
Re 1.278 -2.020 0.000
P 0.000 0.000 1.399
Ir 2.557 0.000 1.399
Re 1.278 2.020 0.000
```

Results
Space group = Cmmm, No. 65
ΔH_f (0 K) = 346 meV/atom
Calculated volume = 57.8 Å³/cell

=====

Number 1: spin magnetization 0.00 μB/f.u.. Number 2: spin magnetization 0.00 μB/f.u.. Number 3: spin magnetization 0.00 μB/f.u.. Number 4: spin magnetization 0.00 μB/f.u.. Number 5: spin magnetization 0.00 μB/f.u.. Number 6: spin magnetization 0.00 μB/f.u..